Record 1
# MnTlV3 GGA-PBE optimized geometry
# - volume (Å³/atom) = 16.758
# - final energy (eV per atom) = -7.10
# - density (g/cm³) = 8.17
# - crystal system = cubic
data_MnTlV3
_space_group_name_H-M_alt 'P 1'
_space_group_IT_number 1
_cell_length_a 4.376
_cell_length_b 4.376
_cell_length_c 4.376
_cell_angle_alpha 90.00
_cell_angle_beta 90.00
_cell_angle_gamma 90.00
loop_
_space_group_symop_operation_xyz
'x,y,z'
loop_
_atom_site_label
_atom_site_type_symbol
_atom_site_fract_x
_atom_site_fract_y
_atom_site_fract_z
Mn1 Mn 0.000 0.000 0.000
Tl1 Tl 0.500 0.500 0.500
V1 V 0.000 0.000 0.500
V2 V 0.000 0.500 0.000
V3 V 0.500 0.000 0.000

---

Record 2
# Er2Mg5Sc GGA-PBE optimized geometry
# - volume (Å³/atom) = 24.765
# - final energy (eV per atom) = -2.97
# - density (g/cm³) = 4.20
# - crystal system = tetragonal
data_Er2Mg5Sc
_space_group_name_H-M_alt 'P 1'
_space_group_IT_number 1
_cell_length_a 8.427
_cell_length_b 8.427
_cell_length_c 8.427
_cell_angle_alpha 144.77
_cell_angle_beta 144.77
_cell_angle_gamma 50.68
loop_
_space_group_symop_operation_xyz
'x,y,z'
loop_
_atom_site_label
_atom_site_type_symbol
_atom_site_fract_x
_atom_site_fract_y
_atom_site_fract_z
Er1 Er 0.246 0.246 0.000
Er2 Er 0.754 0.754 0.000
Mg1 Mg 0.000 0.000 0.000
Mg2 Mg 0.115 0.615 0.500
Mg3 Mg 0.385 0.885 0.500
Mg4 Mg 0.615 0.115 0.500
Mg5 Mg 0.885 0.385 0.500
Sc1 Sc 0.500 0.500 0.000

---

Record 3
# CsPaGa2Br8 GGA-PBE optimized geometry
# - raw formation energy (meV/atom) = -1209.9
# - volume (Å³/atom) = 43.251
# - final energy (eV per atom) = -3.69
# - density (g/cm³) = 3.66
# - crystal system = triclinic
data_CsPaGa2Br8
_space_group_name_H-M_alt 'P 1'
_space_group_IT_number 1
_cell_length_a 7.345
_cell_length_b 7.791
_cell_length_c 9.790
_cell_angle_alpha 68.14
_cell_angle_beta 87.44
_cell_angle_gamma 86.90
loop_
_space_group_symop_operation_xyz
'x,y,z'
loop_
_atom_site_label
_atom_site_type_symbol
_atom_site_fract_x
_atom_site_fract_y
_atom_site_fract_z
Cs1 Cs 0.000 0.000 0.000
Pa1 Pa 0.000 0.000 0.500
Ga1 Ga 0.497 0.375 0.217
Ga2 Ga 0.503 0.625 0.783
Br1 Br 0.057 0.296 0.239
Br2 Br 0.211 0.777 0.396
Br3 Br 0.291 0.089 0.617
Br4 Br 0.462 0.739 0.017
Br5 Br 0.538 0.261 0.983
Br6 Br 0.709 0.911 0.383
Br7 Br 0.789 0.223 0.604
Br8 Br 0.943 0.704 0.761

---

Record 4
# BaScV2Os GGA-PBE optimized geometry
# - volume (Å³/atom) = 23.114
# - final energy (eV per atom) = -5.98
# - density (g/cm³) = 6.82
# - crystal system = tetragonal
data_BaScV2Os
_space_group_name_H-M_alt 'P 1'
_space_group_IT_number 1
_cell_length_a 4.816
_cell_length_b 4.816
_cell_length_c 4.982
_cell_angle_alpha 90.00
_cell_angle_beta 90.00
_cell_angle_gamma 90.00
loop_
_space_group_symop_operation_xyz
'x,y,z'
loop_
_atom_site_label
_atom_site_type_symbol
_atom_site_fract_x
_atom_site_fract_y
_atom_site_fract_z
Ba1 Ba 0.000 0.000 0.000
Sc1 Sc 0.500 0.500 0.500
V1 V 0.000 0.500 0.500
V2 V 0.500 0.000 0.500
Os1 Os 0.500 0.500 0.000

---

Record 5
# Hg3PF GGA-PBE optimized geometry
# - raw formation energy (meV/atom) = -189.0
# - volume (Å³/atom) = 27.342
# - final energy (eV per atom) = -1.83
# - density (g/cm³) = 7.92
# - crystal system = cubic
data_Hg3PF
_space_group_name_H-M_alt 'P 1'
_space_group_IT_number 1
_cell_length_a 5.152
_cell_length_b 5.152
_cell_length_c 5.152
_cell_angle_alpha 90.00
_cell_angle_beta 90.00
_cell_angle_gamma 90.00
loop_
_space_group_symop_operation_xyz
'x,y,z'
loop_
_atom_site_label
_atom_site_type_symbol
_atom_site_fract_x
_atom_site_fract_y
_atom_site_fract_z
Hg1 Hg 0.000 0.000 0.500
Hg2 Hg 0.000 0.500 0.000
Hg3 Hg 0.500 0.000 0.000
P1 P 0.000 0.000 0.000
F1 F 0.500 0.500 0.500

---

Record 6
# PrPtPb2 GGA-PBE optimized geometry
# - volume (Å³/atom) = 30.176
# - final energy (eV per atom) = -4.57
# - density (g/cm³) = 10.32
# - crystal system = trigonal
data_PrPtPb2
_space_group_name_H-M_alt 'P 1'
_space_group_IT_number 1
_cell_length_a 10.495
_cell_length_b 10.495
_cell_length_c 10.495
_cell_angle_alpha 20.21
_cell_angle_beta 20.21
_cell_angle_gamma 20.21
loop_
_space_group_symop_operation_xyz
'x,y,z'
loop_
_atom_site_label
_atom_site_type_symbol
_atom_site_fract_x
_atom_site_fract_y
_atom_site_fract_z
Pr1 Pr 0.000 0.000 0.000
Pt1 Pt 0.500 0.500 0.500
Pb1 Pb 0.106 0.106 0.106
Pb2 Pb 0.894 0.894 0.894

---

Record 7
# Ac14Co3Hg6 GGA-PBE optimized geometry
# - volume (Å³/atom) = 35.742
# - final energy (eV per atom) = -3.69
# - density (g/cm³) = 9.21
# - crystal system = trigonal
data_Ac14Co3Hg6
_space_group_name_H-M_alt 'P 1'
_space_group_IT_number 1
_cell_length_a 11.157
_cell_length_b 11.157
_cell_length_c 7.626
_cell_angle_alpha 90.00
_cell_angle_beta 90.00
_cell_angle_gamma 120.00
loop_
_space_group_symop_operation_xyz
'x,y,z'
loop_
_atom_site_label
_atom_site_type_symbol
_atom_site_fract_x
_atom_site_fract_y
_atom_site_fract_z
Ac1 Ac 0.000 0.000 0.000
Ac2 Ac 0.084 0.542 0.306
Ac3 Ac 0.204 0.409 0.763
Ac4 Ac 0.204 0.796 0.763
Ac5 Ac 0.246 0.123 0.481
Ac6 Ac 0.421 0.210 0.997
Ac7 Ac 0.458 0.542 0.306
Ac8 Ac 0.458 0.916 0.306
Ac9 Ac 0.591 0.796 0.763
Ac10 Ac 0.667 0.333 0.516
Ac11 Ac 0.790 0.210 0.997
Ac12 Ac 0.790 0.579 0.997
Ac13 Ac 0.877 0.123 0.481
Ac14 Ac 0.877 0.754 0.481
Co1 Co 0.000 0.000 0.664
Co2 Co 0.333 0.667 0.541
Co3 Co 0.667 0.333 0.182
Hg1 Hg 0.147 0.295 0.196
Hg2 Hg 0.147 0.853 0.196
Hg3 Hg 0.522 0.044 0.721
Hg4 Hg 0.522 0.478 0.721
Hg5 Hg 0.705 0.853 0.196
Hg6 Hg 0.956 0.478 0.721

---

Record 8
# Ac4TlIn12 GGA-PBE optimized geometry
# - volume (Å³/atom) = 29.871
# - final energy (eV per atom) = -3.40
# - density (g/cm³) = 8.14
# - crystal system = cubic
data_Ac4TlIn12
_space_group_name_H-M_alt 'P 1'
_space_group_IT_number 1
_cell_length_a 8.705
_cell_length_b 8.705
_cell_length_c 8.705
_cell_angle_alpha 109.47
_cell_angle_beta 109.47
_cell_angle_gamma 109.47
loop_
_space_group_symop_operation_xyz
'x,y,z'
loop_
_atom_site_label
_atom_site_type_symbol
_atom_site_fract_x
_atom_site_fract_y
_atom_site_fract_z
Ac1 Ac 0.000 0.000 0.500
Ac2 Ac 0.000 0.500 0.000
Ac3 Ac 0.500 0.000 0.000
Ac4 Ac 0.500 0.500 0.500
Tl1 Tl 0.000 0.000 0.000
In1 In 0.000 0.311 0.311
In2 In 0.000 0.689 0.689
In3 In 0.250 0.500 0.750
In4 In 0.250 0.750 0.500
In5 In 0.311 0.000 0.311
In6 In 0.311 0.311 0.000
In7 In 0.500 0.250 0.750
In8 In 0.500 0.750 0.250
In9 In 0.689 0.000 0.689
In10 In 0.689 0.689 0.000
In11 In 0.750 0.250 0.500
In12 In 0.750 0.500 0.250

---

Record 9
# Pb3S2Br GGA-PBE optimized geometry
# - raw formation energy (meV/atom) = -391.0
# - volume (Å³/atom) = 32.756
# - final energy (eV per atom) = -3.90
# - density (g/cm³) = 6.47
# - crystal system = orthorhombic
data_Pb3S2Br
_space_group_name_H-M_alt 'P 1'
_space_group_IT_number 1
_cell_length_a 9.166
_cell_length_b 9.166
_cell_length_c 9.166
_cell_angle_alpha 130.51
_cell_angle_beta 67.65
_cell_angle_gamma 136.95
loop_
_space_group_symop_operation_xyz
'x,y,z'
loop_
_atom_site_label
_atom_site_type_symbol
_atom_site_fract_x
_atom_site_fract_y
_atom_site_fract_z
Pb1 Pb 0.000 0.245 0.245
Pb2 Pb 0.000 0.755 0.755
Pb3 Pb 0.500 0.000 0.000
Pb4 Pb 0.500 0.245 0.745
Pb5 Pb 0.500 0.500 0.500
Pb6 Pb 0.500 0.755 0.255
S1 S 0.254 0.645 0.608
S2 S 0.463 0.355 0.108
S3 S 0.537 0.645 0.892
S4 S 0.746 0.355 0.392
Br1 Br 0.145 0.895 0.250
Br2 Br 0.855 0.105 0.750

---

Record 10
# AcAlIn GGA-PBE optimized geometry
# - volume (Å³/atom) = 31.260
# - final energy (eV per atom) = -3.72
# - density (g/cm³) = 6.53
# - crystal system = cubic
data_AcAlIn
_space_group_name_H-M_alt 'P 1'
_space_group_IT_number 1
_cell_length_a 5.100
_cell_length_b 5.100
_cell_length_c 5.100
_cell_angle_alpha 60.00
_cell_angle_beta 60.00
_cell_angle_gamma 60.00
loop_
_space_group_symop_operation_xyz
'x,y,z'
loop_
_atom_site_label
_atom_site_type_symbol
_atom_site_fract_x
_atom_site_fract_y
_atom_site_fract_z
Ac1 Ac 0.000 0.000 0.000
Al1 Al 0.250 0.250 0.250
In1 In 0.500 0.500 0.500

---

Record 11
# LiB2C2 GGA-PBE optimized geometry
# - volume (Å³/atom) = 9.149
# - final energy (eV per atom) = -6.78
# - density (g/cm³) = 1.91
# - crystal system = orthorhombic
data_LiB2C2
_space_group_name_H-M_alt 'P 1'
_space_group_IT_number 1
_cell_length_a 14.775
_cell_length_b 14.775
_cell_length_c 14.775
_cell_angle_alpha 169.40
_cell_angle_beta 20.91
_cell_angle_gamma 162.03
loop_
_space_group_symop_operation_xyz
'x,y,z'
loop_
_atom_site_label
_atom_site_type_symbol
_atom_site_fract_x
_atom_site_fract_y
_atom_site_fract_z
Li1 Li 0.063 0.000 0.063
Li2 Li 0.309 0.996 0.312
Li3 Li 0.684 0.996 0.688
Li4 Li 0.937 0.000 0.937
B1 B 0.005 0.635 0.371
B2 B 0.104 0.358 0.746
B3 B 0.264 0.635 0.629
B4 B 0.333 0.333 0.000
B5 B 0.514 0.635 0.879
B6 B 0.612 0.358 0.254
B7 B 0.756 0.635 0.121
B8 B 0.826 0.326 0.500
C1 C 0.167 0.297 0.871
C2 C 0.174 0.674 0.500
C3 C 0.426 0.297 0.129
C4 C 0.450 0.696 0.754
C5 C 0.674 0.674 0.000
C6 C 0.676 0.297 0.379
C7 C 0.918 0.297 0.621
C8 C 0.942 0.696 0.246

---

Record 12
# BaVAg2 GGA-PBE optimized geometry
# - volume (Å³/atom) = 26.460
# - final energy (eV per atom) = -3.73
# - density (g/cm³) = 6.34
# - crystal system = cubic
data_BaVAg2
_space_group_name_H-M_alt 'P 1'
_space_group_IT_number 1
_cell_length_a 5.310
_cell_length_b 5.310
_cell_length_c 5.310
_cell_angle_alpha 60.00
_cell_angle_beta 60.00
_cell_angle_gamma 60.00
loop_
_space_group_symop_operation_xyz
'x,y,z'
loop_
_atom_site_label
_atom_site_type_symbol
_atom_site_fract_x
_atom_site_fract_y
_atom_site_fract_z
Ba1 Ba 0.000 0.000 0.000
V1 V 0.500 0.500 0.500
Ag1 Ag 0.250 0.250 0.250
Ag2 Ag 0.750 0.750 0.750